MnWCl4 PBE-GGA optimized geometry; volume = 22.3 Å³ per atom; magnetization = 1.91 μB per cell; raw formation energy = 1.375 eV per atom; energy = -3.5433 eV/atom
1.0
0.0000 4.0590 4.0590
4.0590 0.0000 4.0590
4.0590 4.0590 0.0000
Mn W Cl
1 1 4
direct
0.0000 0.0000 0.0000 Mn
0.7500 0.7500 0.7500 W
0.3750 0.3750 0.3750 Cl
0.3750 0.3750 0.8751 Cl
0.3750 0.8751 0.3750 Cl
0.8751 0.3750 0.3750 Cl